{
  "formula": "Pr2ThSe5",
  "functional": "PBE-GGA",
  "state": "optimized geometry",
  "n_ef_per_ev_atom": 0.0000,
  "final_energy_ev_per_cell": -97.24,
  "total_magnetization_mub_per_fu": 0.0,
  "density_g_cm3": 5.1,
  "polymorph_energy_ev_per_atom": 0.0846,
  "e_form_raw_mev_per_atom": -1777,
  "lattice": [[2.866, -7.205, 0.000], [2.866, 7.205, 0.000], [0.000, 0.000, 14.299]],
  "species": ["Pr", "Pr", "Pr", "Pr", "Th", "Th", "Se", "Se", "Se", "Se", "Se", "Se", "Se", "Se", "Se", "Se"],
  "fractional_positions": [[0.143, 0.857, 0.557], [0.143, 0.857, 0.943], [0.857, 0.143, 0.057], [0.857, 0.143, 0.443], [0.197, 0.803, 0.250], [0.803, 0.197, 0.750], [0.047, 0.953, 0.122], [0.047, 0.953, 0.378], [0.249, 0.751, 0.750], [0.310, 0.690, 0.077], [0.310, 0.690, 0.423], [0.690, 0.310, 0.577], [0.690, 0.310, 0.923], [0.751, 0.249, 0.250], [0.953, 0.047, 0.622], [0.953, 0.047, 0.878]]
}